# 1
# ScTa2Tl | Alexandria | PBE | relaxed
data_ScTa2Tl
_space_group_name_H-M_alt 'P m m m'
_space_group_IT_number 47
_space_group_name_Hall '-P 2 2'
_cell_length_a 3.860
_cell_length_b 4.329
_cell_length_c 4.771
_cell_angle_alpha 90.00
_cell_angle_beta 90.00
_cell_angle_gamma 90.00
loop_
_atom_site_label
_atom_site_type_symbol
_atom_site_fract_x
_atom_site_fract_y
_atom_site_fract_z
Sc1 Sc 0.000 0.000 0.000
Ta1 Ta 0.000 0.500 0.500
Ta2 Ta 0.500 0.000 0.500
Tl1 Tl 0.500 0.500 0.000
# ΔE to the lowest computed polymorph   0.47 eV per formula unit
# Magnetic moment   0.0 Bohr magnetons per cell
# DFT total energy   -7.899 eV/atom


# 2
# ScTa2Tl | Alexandria | PBE | relaxed
data_ScTa2Tl
_space_group_name_H-M_alt 'I -4 2 d'
_space_group_IT_number 122
_space_group_name_Hall 'I -4 2bw'
_cell_length_a 7.928
_cell_length_b 7.928
_cell_length_c 5.616
_cell_angle_alpha 90.00
_cell_angle_beta 90.00
_cell_angle_gamma 90.00
loop_
_atom_site_label
_atom_site_type_symbol
_atom_site_fract_x
_atom_site_fract_y
_atom_site_fract_z
Sc1 Sc 0.000 0.000 0.000
Ta1 Ta 0.237 0.250 0.625
Tl1 Tl 0.000 0.000 0.500
# ΔE to the lowest computed polymorph   3.15 eV per formula unit
# Magnetic moment   0.0 Bohr magnetons per cell
# DFT total energy   -7.230 eV/atom


# 3
# ScTa2Tl | Alexandria | PBE | relaxed
data_ScTa2Tl
_space_group_name_H-M_alt 'I m m m'
_space_group_IT_number 71
_space_group_name_Hall '-I 2 2'
_cell_length_a 4.129
_cell_length_b 4.139
_cell_length_c 9.429
_cell_angle_alpha 90.00
_cell_angle_beta 90.00
_cell_angle_gamma 90.00
loop_
_atom_site_label
_atom_site_type_symbol
_atom_site_fract_x
_atom_site_fract_y
_atom_site_fract_z
Sc1 Sc 0.000 0.000 0.000
Ta1 Ta 0.000 0.500 0.250
Tl1 Tl 0.000 0.000 0.500
# ΔE to the lowest computed polymorph   0.46 eV per formula unit
# Magnetic moment   0.0 Bohr magnetons per cell
# DFT total energy   -7.902 eV/atom


# 4
# ScTaTl2 | Alexandria | PBE | relaxed
data_ScTaTl2
_space_group_name_H-M_alt 'P 4 m m'
_space_group_IT_number 99
_space_group_name_Hall 'P 4 -2'
_cell_length_a 3.824
_cell_length_b 3.824
_cell_length_c 6.179
_cell_angle_alpha 90.00
_cell_angle_beta 90.00
_cell_angle_gamma 90.00
loop_
_atom_site_label
_atom_site_type_symbol
_atom_site_fract_x
_atom_site_fract_y
_atom_site_fract_z
Sc1 Sc 0.000 0.000 0.000
Ta1 Ta 0.500 0.500 0.229
Tl1 Tl 0.000 0.000 0.468
Tl2 Tl 0.500 0.500 0.737
# Magnetic moment   0.0 Bohr magnetons per cell
# DFT total energy   -5.385 eV/atom


How do the records compare in formation energy? In the order shown, they have 0.20, 0.87, 0.20, 0.34 eV/atom.